[1]
Density functional theory data (PBE) for RbLiI2 after structural relaxation.

Results
**Total moment**: 0.0 μB per cell
**V**: 42.12 Å³ per atom
**DOS at the Fermi energy**: 0.0 states/eV/cell
**Crystal system**: tetragonal
**E**: -2.82 eV per atom
**Formation energy (no corrections)**: -1.322 eV per atom

Cell: 8.374 8.374 7.625 Å, 56.69 56.69 90.00°
Sites, in units of the cell vectors:
I: 0.543 0.125 0.250
I: 0.207 0.625 0.250
I: 0.375 0.457 0.750
I: 0.875 0.793 0.750
Rb: 0.000 0.000 0.000
Rb: 0.750 0.250 0.500
Li: 0.500 0.500 0.000
Li: 0.250 0.750 0.500

***

[2]
Density functional theory data (PBE) for Tb5SmY2Er after structural relaxation.

Results
**Total moment**: 0.0 μB per cell
**Formation energy**: 152 meV/atom
**V**: 32.85 Å³ per atom
**DOS at the Fermi energy**: 29.8 states/eV/cell
**Crystal system**: orthorhombic
**E**: -4.89 eV per atom

Cell: 5.631 10.314 10.585 Å, 90.00 90.00 105.84°
Sites, in units of the cell vectors:
Tb: 0.389 0.778 0.022
Tb: 0.718 0.436 0.811
Tb: 0.480 0.959 0.739
Tb: 0.298 0.597 0.707
Tb: 0.981 0.962 0.523
Tb: 0.611 0.222 0.522
Tb: 0.282 0.564 0.311
Tb: 0.520 0.041 0.239
Tb: 0.702 0.403 0.207
Tb: 0.019 0.038 0.023
Sm: 0.585 0.171 0.956
Sm: 0.415 0.829 0.456
Y: 0.886 0.772 0.819
Y: 0.111 0.222 0.735
Y: 0.114 0.228 0.319
Y: 0.889 0.778 0.235
Er: 0.799 0.599 0.511
Er: 0.201 0.401 0.011

***

[3]
Density functional theory data (PBE) for ZrU2NbC4 after structural relaxation.

Results
**Total moment**: 0.0 μB per cell
**Formation energy**: -455 meV/atom
**V**: 13.56 Å³ per atom
**DOS at the Fermi energy**: 6.1 states/eV/cell
**Crystal system**: monoclinic
**E**: -10.22 eV per atom

Cell: 3.341 5.771 5.949 Å, 108.90 90.00 90.00°
Sites, in units of the cell vectors:
Zr: 0.500 0.500 0.000
U: 0.500 0.000 0.500
U: 0.000 0.500 0.500
Nb: 0.000 0.000 0.000
C: 0.500 0.239 0.236
C: 0.500 0.761 0.764
C: 0.000 0.246 0.760
C: 0.000 0.754 0.240

***

[4]
Density functional theory data (PBE) for Be3Tl after structural relaxation.

Results
**Total moment**: 0.0 μB per cell
**Formation energy**: 695 meV/atom
**V**: 13.59 Å³ per atom
**DOS at the Fermi energy**: 0.9 states/eV/cell
**Crystal system**: orthorhombic
**E**: -2.69 eV per atom
**Energy relative to the lowest polymorph listed for this composition**: 339 meV per atom

Cell: 2.769 3.404 5.768 Å, 90.00 90.00 90.00°
Sites, in units of the cell vectors:
Be: 0.500 0.500 0.677
Be: 0.000 0.000 0.500
Be: 0.500 0.500 0.323
Tl: 0.000 0.000 0.000

***

[5]
Density functional theory data (PBE) for InPbO2F after structural relaxation.

Results
**Total moment**: 0.0 μB per cell
**V**: 16.71 Å³ per atom
**DOS at the Fermi energy**: 3.4 states/eV/cell
**Crystal system**: tetragonal
**E**: -4.60 eV per atom
**Formation energy (no corrections)**: -0.951 eV per atom

Cell: 4.328 4.328 4.461 Å, 90.00 90.00 90.00°
Sites, in units of the cell vectors:
Pb: 0.000 0.000 0.000
F: 0.000 0.000 0.500
O: 0.000 0.500 0.000
O: 0.500 0.000 0.000
In: 0.500 0.500 0.500

***

[6]
Density functional theory data (PBE) for Pd2RuO2 after structural relaxation.

Results
**Total moment**: 4.1 μB per cell
**V**: 12.53 Å³ per atom
**DOS at the Fermi energy**: 9.3 states/eV/cell
**Crystal system**: tetragonal
**E**: -5.24 eV per atom
**Energy relative to the lowest polymorph listed for this composition**: 130 meV per atom
**Formation energy (no corrections)**: 0.671 eV per atom

Cell: 6.766 6.766 2.736 Å, 90.00 90.00 90.00°
Site moments in Bohr magnetons follow the coordinates.
Sites, in units of the cell vectors:
Ru: 0.000 0.000 0.000  1.69
Ru: 0.500 0.500 0.000  1.68
O: 0.159 0.659 0.500  0.07
O: 0.659 0.841 0.500  0.08
O: 0.841 0.341 0.500  0.07
O: 0.341 0.159 0.500  0.08
Pd: 0.347 0.847 0.000  0.06
Pd: 0.847 0.653 0.000  0.06
Pd: 0.653 0.153 0.000  0.06
Pd: 0.153 0.347 0.000  0.06

***

[7]
Density functional theory data (PBE) for BC2 after structural relaxation.

Results
**Total moment**: 0.0 μB per cell
**Formation energy**: 332 meV/atom
**V**: 6.24 Å³ per atom
**DOS at the Fermi energy**: 1.3 states/eV/cell
**Crystal system**: monoclinic
**E**: -8.04 eV per atom
**Energy relative to the lowest polymorph listed for this composition**: 92 meV per atom

Cell: 4.426 4.426 8.041 Å, 118.86 118.86 33.40°
Sites, in units of the cell vectors:
B: 0.637 0.637 0.348
B: 0.371 0.371 0.153
B: 0.180 0.180 0.218
B: 0.515 0.515 0.866
C: 0.455 0.455 0.388
C: 0.022 0.022 0.999
C: 0.855 0.855 0.023
C: 0.678 0.678 0.822
C: 0.324 0.324 0.665
C: 0.166 0.166 0.705
C: 0.975 0.975 0.507
C: 0.820 0.820 0.557

***

[8]
Density functional theory data (PBE) for NaIn2CBr after structural relaxation.

Results
**Total moment**: 2.0 μB per cell
**V**: 31.72 Å³ per atom
**DOS at the Fermi energy**: 0.6 states/eV/cell
**Crystal system**: tetragonal
**E**: -2.44 eV per atom
**Formation energy (no corrections)**: 1.101 eV per atom

Cell: 5.962 4.461 5.962 Å, 90.00 90.00 90.00°
Site moments in Bohr magnetons follow the coordinates.
Sites, in units of the cell vectors:
Na: 0.000 0.000 0.000  0.02
C: 0.000 0.500 0.000  0.94
Br: 0.500 0.500 0.500  0.04
In: 0.000 0.000 0.500  -0.03
In: 0.500 0.000 0.000  0.00

***

[9]
Density functional theory data (PBE) for KNa after structural relaxation.

Results
**Total moment**: 0.0 μB per cell
**Formation energy**: 19 meV/atom
**V**: 53.20 Å³ per atom
**DOS at the Fermi energy**: 0.8 states/eV/cell
**Crystal system**: cubic
**E**: -1.19 eV per atom

Cell: 4.739 4.739 4.739 Å, 90.00 90.00 90.00°
Sites, in units of the cell vectors:
Na: 0.500 0.500 0.500
K: 0.000 0.000 0.000

***

[10]
Density functional theory data (PBE) for PPtSe2 after structural relaxation.

Results
**Total moment**: 0.0 μB per cell
**V**: 17.60 Å³ per atom
**DOS at the Fermi energy**: 1.9 states/eV/cell
**Crystal system**: orthorhombic
**E**: -4.06 eV per atom
**Formation energy (no corrections)**: 0.549 eV per atom

Cell: 2.930 2.930 8.968 Å, 90.00 90.00 113.88°
Sites, in units of the cell vectors:
P: 0.500 0.500 0.500
Pt: 0.500 0.500 0.000
Se: 0.000 0.000 0.241
Se: 0.000 0.000 0.759

***

[11]
Density functional theory data (PBE) for AlTl2Pb after structural relaxation.

Results
**Total moment**: 0.0 μB per cell
**Formation energy**: 185 meV/atom
**V**: 28.03 Å³ per atom
**DOS at the Fermi energy**: 2.0 states/eV/cell
**Crystal system**: monoclinic
**E**: -2.86 eV per atom
**Energy relative to the lowest polymorph listed for this composition**: 59 meV per atom

Cell: 5.206 3.392 6.510 Å, 77.25 90.00 90.00°
Sites, in units of the cell vectors:
Pb: 0.500 0.750 0.750
Tl: 0.000 0.072 0.015
Tl: 0.000 0.428 0.485
Al: 0.500 0.250 0.250

***

[12]
Density functional theory data (PBE) for Ag2PbO after structural relaxation.

Results
**Total moment**: 0.0 μB per cell
**V**: 18.57 Å³ per atom
**DOS at the Fermi energy**: 1.4 states/eV/cell
**Crystal system**: tetragonal
**E**: -3.64 eV per atom
**Energy relative to the lowest polymorph listed for this composition**: 0 meV per atom
**Formation energy (no corrections)**: -0.051 eV per atom

Cell: 7.508 7.508 5.927 Å, 50.70 50.70 90.00°
Sites, in units of the cell vectors:
Pb: 0.000 0.000 0.000
Pb: 0.750 0.250 0.500
O: 0.500 0.500 0.000
O: 0.250 0.750 0.500
Ag: 0.550 0.125 0.250
Ag: 0.200 0.625 0.250
Ag: 0.375 0.450 0.750
Ag: 0.875 0.800 0.750